No. 1
Entry from the Alexandria database: a relaxed PmTl3Hg12 crystal (GGA-PBE).

```
PmTl3Hg12
1.0
4.630 0.000 0.000
0.000 4.630 0.000
0.000 0.000 20.552
Pm Tl Hg
1 3 12
direct
0.000 0.000 0.000
0.000 0.000 0.242
0.000 0.000 0.500
0.000 0.000 0.758
0.000 0.500 0.116
0.000 0.500 0.369
0.000 0.500 0.631
0.000 0.500 0.884
0.500 0.000 0.116
0.500 0.000 0.369
0.500 0.000 0.631
0.500 0.000 0.884
0.500 0.500 0.000
0.500 0.500 0.242
0.500 0.500 0.500
0.500 0.500 0.758
```

Properties
Its symmetry is P4/mmm, No. 123. The calculated volume comes out at 441 Å³ per cell. The crystal system is tetragonal.

***

No. 2
Entry from the Alexandria database: a relaxed Pm2TlHg8 crystal (GGA-PBE).

```
Pm2TlHg8
1.0
8.788 -2.448 0.000
8.788 2.448 0.000
-2.359 0.000 6.765
Pm Tl Hg
2 1 8
direct
0.211 0.211 0.184
0.789 0.789 0.816
0.500 0.500 0.500
0.028 0.028 0.218
0.160 0.160 0.692
0.346 0.346 0.612
0.384 0.384 0.074
0.616 0.616 0.926
0.654 0.654 0.388
0.840 0.840 0.308
0.972 0.972 0.782
```

Properties
Its symmetry is C2/m, No. 12. The calculated volume comes out at 291 Å³ per cell. For the energy above the most stable polymorph in this dataset, the calculation gives 18 meV/atom. The crystal system is monoclinic.

***

no.,E_form (kJ/mol of formula units)
1,-157
2,-243